(1)
# PBEsol LiSO3F, optimized geometry
data_LiSO3F
_cell_length_a 8.545
_cell_length_b 7.548
_cell_length_c 5.006
_cell_angle_alpha 90.00
_cell_angle_beta 92.59
_cell_angle_gamma 90.00
_symmetry_space_group_name_H-M 'C 1 2/m 1'
_symmetry_Int_Tables_number 12
loop_
_symmetry_equiv_pos_as_xyz
'x,y,z'
'-x,-y,-z'
'-x,y,-z'
'x,-y,z'
'x+1/2,y+1/2,z'
'-x+1/2,-y+1/2,-z'
'-x+1/2,y+1/2,-z'
'x+1/2,-y+1/2,z'
loop_
_atom_site_label
_atom_site_fract_x
_atom_site_fract_y
_atom_site_fract_z
Li1 0.000 0.192 0.000
S1 0.206 0.500 0.734
O1 0.124 0.338 0.783
O2 0.131 0.000 0.166
F1 0.221 0.500 0.420
# Volume in A^3/atom: 13.44

=====

(2)
# PBEsol LiZnSO4F, optimized geometry
data_LiZnSO4F
_cell_length_a 7.380
_cell_length_b 6.273
_cell_length_c 7.480
_cell_angle_alpha 90.00
_cell_angle_beta 90.00
_cell_angle_gamma 90.00
_symmetry_space_group_name_H-M 'P n m a'
_symmetry_Int_Tables_number 62
loop_
_symmetry_equiv_pos_as_xyz
'x,y,z'
'-x,-y,-z'
'-x+1/2,-y,z+1/2'
'x+1/2,y,-z+1/2'
'x+1/2,-y+1/2,-z+1/2'
'-x+1/2,y+1/2,z+1/2'
'-x,y+1/2,-z'
'x,-y+1/2,z'
loop_
_atom_site_label
_atom_site_fract_x
_atom_site_fract_y
_atom_site_fract_z
Li1 0.000 0.000 0.000
Zn1 0.136 0.250 0.294
S1 0.134 0.750 0.356
O1 0.033 0.250 0.537
O2 0.136 0.561 0.235
O3 0.202 0.250 0.970
F1 0.102 0.750 0.862
# Volume in A^3/atom: 10.82

=====

(3)
# PBEsol LiSeO2F, optimized geometry
data_LiSeO2F
_cell_length_a 3.689
_cell_length_b 3.689
_cell_length_c 3.316
_cell_angle_alpha 90.00
_cell_angle_beta 90.00
_cell_angle_gamma 90.00
_symmetry_space_group_name_H-M 'P 4/m m m'
_symmetry_Int_Tables_number 123
_symmetry_space_group_name_Hall '-P 4 2'
loop_
_atom_site_label
_atom_site_fract_x
_atom_site_fract_y
_atom_site_fract_z
Li1 0.000 0.000 0.000
Se1 0.500 0.500 0.500
O1 0.000 0.500 0.000
F1 0.000 0.000 0.500
# Volume in A^3/atom: 9.02

=====

(4)
# PBEsol LiSiO2F, optimized geometry
data_LiSiO2F
_cell_length_a 3.425
_cell_length_b 3.425
_cell_length_c 3.704
_cell_angle_alpha 90.00
_cell_angle_beta 90.00
_cell_angle_gamma 90.00
_symmetry_space_group_name_H-M 'P 4/m m m'
_symmetry_Int_Tables_number 123
_symmetry_space_group_name_Hall '-P 4 2'
loop_
_atom_site_label
_atom_site_fract_x
_atom_site_fract_y
_atom_site_fract_z
Li1 0.000 0.000 0.000
Si1 0.500 0.500 0.500
O1 0.000 0.500 0.500
F1 0.500 0.500 0.000
# Volume in A^3/atom: 8.69

=====

Across the entries above, formation energy (no corrections) takes the values -11.02 -14.67 -2.05 -12.26 eV/f.u., respectively.